Entry 1:
A plane-wave DFT calculation with meta-GGA SCAN was carried out for a PBEsol-optimized structure of LaAlGe2O7.

POSCAR file:
```
LaAlGe2O7
1.0
-0.1757 5.3490 -3.8056
-2.4609 -4.0299 -5.5507
-11.1808 1.2419 2.2617
O Ge Al La
28 8 4 4
direct
0.1778 0.9315 0.9739 O
0.6149 0.4482 0.2766 O
0.3222 0.4315 0.4739 O
0.3368 0.0893 0.4133 O
0.9956 0.8272 0.4276 O
0.6632 0.9107 0.5867 O
0.3851 0.5518 0.7234 O
0.5044 0.3272 0.9276 O
0.1791 0.4744 0.1874 O
0.6791 0.0256 0.3126 O
0.6235 0.2303 0.6998 O
0.0044 0.1728 0.5724 O
0.4479 0.1636 0.1365 O
0.9479 0.3364 0.3635 O
0.8765 0.7303 0.1998 O
0.3765 0.7697 0.3002 O
0.8222 0.0685 0.0261 O
0.8209 0.5256 0.8126 O
0.1149 0.0518 0.2234 O
0.4956 0.6728 0.0724 O
0.6778 0.5685 0.5261 O
0.0521 0.6636 0.6365 O
0.1632 0.5893 0.9133 O
0.8368 0.4107 0.0867 O
0.1235 0.2697 0.8002 O
0.3209 0.9744 0.6874 O
0.5521 0.8364 0.8635 O
0.8851 0.9482 0.7766 O
0.0916 0.0824 0.7186 Ge
0.9084 0.9176 0.2814 Ge
0.3431 0.7575 0.9491 Ge
0.6569 0.2425 0.0509 Ge
0.5916 0.4176 0.7814 Ge
0.4084 0.5824 0.2186 Ge
0.8431 0.7425 0.5509 Ge
0.1569 0.2575 0.4491 Ge
0.1037 0.5162 0.7694 Al
0.3963 0.0162 0.2694 Al
0.8963 0.4838 0.2306 Al
0.6037 0.9838 0.7306 Al
0.8533 0.7628 0.9752 La
0.6467 0.2628 0.4752 La
0.1467 0.2372 0.0248 La
0.3533 0.7372 0.5248 La
```

Values from the calculation:
VASP energy in eV per cell: -648.48
Volume in Å³ per atom: 12.39
Spin magnetization in μB/atom: 0.000
E_form (uncorrected) in meV per atom: -2679
Mass density in kg/m3: 5155


Entry 2:
A plane-wave DFT calculation with meta-GGA SCAN was carried out for a PBEsol-optimized structure of LaAlGePt2.

POSCAR file:
```
LaAlGePt2
1.0
-1.9767 1.8251 3.8207
1.1764 -3.8138 2.4304
4.7550 2.3264 1.3488
Ge Al La Pt
1 1 1 2
direct
0.0000 0.0000 0.0000 Ge
0.5000 0.5000 0.5000 Al
0.0000 0.0000 0.5000 La
0.5000 0.0000 0.0000 Pt
0.0000 0.5000 0.0000 Pt
```

Values from the calculation:
ΔE_f in eV per formula unit: 0.518
VASP energy in eV per cell: -209.81
Volume in Å³ per atom: 23.86
Spin magnetization in μB/atom: 0.000
Mass density in kg/m3: 8752